VASP calculation (GGA-PBEsol) on a geometry-optimized ZrBe4Os structure.

## Properties
The magnetic moment comes out at 0.0 μB/f.u. The total energy is -159.7 eV/cell. The energy relative to the elements comes out at -437.5 meV per atom. The value obtained for the mass density is 8.1 g cm⁻³.

The structure in CIF format:
```
data_ZrBe4Os
_space_group_name_H-M_alt 'F -4 3 m'
_space_group_IT_number 216
_space_group_name_Hall 'F -4 2 3'
_cell_length_a 6.398
_cell_length_b 6.398
_cell_length_c 6.398
_cell_angle_alpha 90.00
_cell_angle_beta 90.00
_cell_angle_gamma 90.00
loop_
_atom_site_label
_atom_site_fract_x
_atom_site_fract_y
_atom_site_fract_z
Zr1 0.000 0.000 0.000
Be1 0.123 0.123 0.377
Os1 0.250 0.250 0.750
```